The following is a DFT calculation (PBE) of a geometry-optimized MgUTlBr6 structure.

Cell lengths 7.335, 7.335, 14.428 Å; angles 90.00, 90.00, 120.00 degrees
Fractional coordinates of all 18 atoms:
Mg 0.333 0.667 0.250
Mg 0.667 0.333 0.750
U 0.667 0.333 0.250
U 0.333 0.667 0.750
Br 0.979 0.619 0.861
Br 0.381 0.360 0.861
Br 0.021 0.381 0.139
Br 0.640 0.021 0.861
Br 0.360 0.979 0.139
Br 0.381 0.021 0.639
Br 0.640 0.619 0.639
Br 0.619 0.979 0.361
Br 0.021 0.640 0.361
Br 0.619 0.640 0.139
Br 0.360 0.381 0.361
Br 0.979 0.360 0.639
Tl 0.000 0.000 0.000
Tl 0.000 0.000 0.500

Density of states at the Fermi level (states/eV per cell): 0.0
Uncorrected energy (eV per atom): -4.05
Space group: P-31c (163)
Formation energy without anion corrections (meV/atom): -1245

The following is a DFT calculation (PBE) of a geometry-optimized MgTlVBr6 structure.

Cell lengths 6.839, 6.838, 7.350 Å; angles 90.00, 90.00, 60.00 degrees
Fractional coordinates of all 9 atoms:
Br 0.986 0.635 0.703
Br 0.635 0.986 0.297
Br 0.986 0.379 0.297
Br 0.379 0.986 0.703
Br 0.635 0.379 0.703
Br 0.379 0.635 0.297
V 0.667 0.667 0.500
Tl 0.000 0.000 0.000
Mg 0.333 0.333 0.500

Density of states at the Fermi level (states/eV per cell): 9.6
Uncorrected energy (eV per atom): -3.62
Space group: P312 (149)
Formation energy without anion corrections (meV/atom): -1050

The following is a DFT calculation (PBE) of a geometry-optimized YMgTlBr6 structure.

Cell lengths 7.179, 7.179, 14.572 Å; angles 90.00, 90.00, 120.00 degrees
Fractional coordinates of all 18 atoms:
Br 0.633 0.011 0.859
Br 0.622 0.633 0.141
Br 0.633 0.622 0.641
Br 0.367 0.378 0.359
Br 0.378 0.367 0.859
Br 0.622 0.989 0.359
Br 0.011 0.378 0.141
Br 0.989 0.367 0.641
Br 0.011 0.633 0.359
Br 0.367 0.989 0.141
Br 0.378 0.011 0.641
Br 0.989 0.622 0.859
Mg 0.333 0.667 0.250
Mg 0.667 0.333 0.750
Tl 0.000 0.000 0.500
Tl 0.000 0.000 0.000
Y 0.333 0.667 0.750
Y 0.667 0.333 0.250

Density of states at the Fermi level (states/eV per cell): 0.0
Uncorrected energy (eV per atom): -3.80
Space group: P-31c (163)
Formation energy without anion corrections (meV/atom): -1526

The following is a DFT calculation (PBE) of a geometry-optimized MgTlZnBr5 structure.

Cell lengths 7.657, 7.657, 9.807 Å; angles 103.71, 103.71, 105.36 degrees
Fractional coordinates of all 16 atoms:
Tl 0.342 0.658 0.250
Tl 0.658 0.342 0.750
Br 0.092 0.683 0.893
Br 0.908 0.317 0.107
Br 0.377 0.241 0.061
Br 0.073 0.927 0.250
Br 0.317 0.908 0.607
Br 0.683 0.092 0.393
Br 0.241 0.377 0.561
Br 0.927 0.073 0.750
Br 0.623 0.759 0.939
Br 0.759 0.623 0.439
Mg 0.000 0.000 0.500
Mg 0.000 0.000 0.000
Zn 0.685 0.315 0.250
Zn 0.315 0.685 0.750

Density of states at the Fermi level (states/eV per cell): 0.0
Uncorrected energy (eV per atom): -2.77
Space group: C2/c (15)
Formation energy without anion corrections (meV/atom): -1075

The following is a DFT calculation (PBE) of a geometry-optimized MgTl2ZnBr6 structure.

Cell lengths 8.408, 7.667, 7.968 Å; angles 79.14, 83.72, 49.58 degrees
Fractional coordinates of all 10 atoms:
Br 0.217 0.051 0.178
Br 0.799 0.694 0.303
Br 0.283 0.251 0.586
Br 0.691 0.583 0.810
Br 0.940 0.932 0.630
Br 0.346 0.488 0.117
Tl 0.863 0.076 0.014
Tl 0.435 0.604 0.487
Mg 0.910 0.631 0.613
Zn 0.178 0.351 0.277

Density of states at the Fermi level (states/eV per cell): 0.0
Uncorrected energy (eV per atom): -2.80
Space group: P1 (1)
Formation energy without anion corrections (meV/atom): -1039

The following is a DFT calculation (PBE) of a geometry-optimized Tm2MgBr structure.

Cell lengths 3.423, 3.423, 11.421 Å; angles 81.38, 81.38, 60.00 degrees
Fractional coordinates of all 4 atoms:
Tm 0.096 0.096 0.711
Tm 0.904 0.904 0.289
Br 0.500 0.500 0.500
Mg 0.000 0.000 0.000

Density of states at the Fermi level (states/eV per cell): 5.2
Uncorrected energy (eV per atom): -3.23
Space group: R-3m (166)
Formation energy without anion corrections (meV/atom): -177

The following is a DFT calculation (PBE) of a geometry-optimized TmMgBr6 structure.

Cell lengths 6.832, 6.831, 7.290 Å; angles 61.74, 62.04, 59.95 degrees
Fractional coordinates of all 8 atoms:
Br 0.753 0.079 0.756
Br 0.080 0.412 0.752
Br 0.247 0.921 0.244
Br 0.410 0.754 0.754
Br 0.590 0.246 0.246
Br 0.920 0.588 0.248
Mg 0.000 0.000 0.000
Tm 0.500 0.500 0.500

Density of states at the Fermi level (states/eV per cell): 13.3
Uncorrected energy (eV per atom): -3.33
Space group: P-1 (2)
Formation energy without anion corrections (meV/atom): -1315

The following is a DFT calculation (PBE) of a geometry-optimized MgUBr2 structure.

Cell lengths 3.512, 3.512, 9.755 Å; angles 79.63, 79.63, 60.00 degrees
Fractional coordinates of all 4 atoms:
Br 0.892 0.892 0.324
Br 0.108 0.108 0.676
Mg 0.500 0.500 0.500
U 0.000 0.000 0.000

Density of states at the Fermi level (states/eV per cell): 4.0
Uncorrected energy (eV per atom): -4.42
Space group: R-3m (166)
Formation energy without anion corrections (meV/atom): -361

The following is a DFT calculation (PBE) of a geometry-optimized Mg3VBr8 structure.

Cell lengths 7.723, 7.725, 8.420 Å; angles 117.64, 90.00, 119.99 degrees
Fractional coordinates of all 12 atoms:
Br 0.743 0.977 0.210
Br 0.765 0.023 0.790
Br 0.262 0.523 0.787
Br 0.235 0.977 0.210
Br 0.765 0.530 0.790
Br 0.257 0.023 0.790
Br 0.235 0.470 0.210
Br 0.738 0.477 0.213
Mg 0.500 0.500 0.000
Mg 0.000 0.500 0.000
Mg 0.500 0.000 0.000
V 0.000 0.000 0.000

Uncorrected energy (eV per atom): -3.59
Space group: C2/m (12)
Formation energy without anion corrections (meV/atom): -1317

The following is a DFT calculation (PBE) of a geometry-optimized MgV2Br8 structure.

Cell lengths 6.565, 8.192, 8.192 Å; angles 81.10, 86.43, 86.43 degrees
Fractional coordinates of all 11 atoms:
Br 0.761 0.622 0.622
Br 0.275 0.814 0.814
Br 0.782 0.731 0.073
Br 0.218 0.269 0.927
Br 0.218 0.927 0.269
Br 0.782 0.073 0.731
Br 0.725 0.186 0.186
Br 0.239 0.378 0.378
V 0.642 0.803 0.803
V 0.358 0.197 0.197
Mg 0.000 0.000 0.000

Uncorrected energy (eV per atom): -3.95
Space group: C2/m (12)
Formation energy without anion corrections (meV/atom): -934

The following is a DFT calculation (PBE) of a geometry-optimized Mg2VBr6 structure.

Cell lengths 3.863, 8.361, 9.195 Å; angles 109.19, 102.13, 90.00 degrees
Fractional coordinates of all 9 atoms:
Br 0.344 0.899 0.688
Br 0.326 0.438 0.651
Br 0.674 0.562 0.349
Br 0.656 0.101 0.312
Br 0.993 0.778 0.986
Br 0.007 0.222 0.014
Mg 0.834 0.669 0.668
Mg 0.166 0.331 0.332
V 0.500 0.000 0.000

Uncorrected energy (eV per atom): -3.74
Space group: C2/m (12)
Formation energy without anion corrections (meV/atom): -1261

The following is a DFT calculation (PBE) of a geometry-optimized MgV2Br6 structure.

Cell lengths 3.848, 7.705, 10.123 Å; angles 112.17, 90.00, 104.46 degrees
Fractional coordinates of all 9 atoms:
Mg 0.000 0.000 0.500
V 0.666 0.331 0.833
V 0.334 0.669 0.167
Br 0.297 0.595 0.890
Br 0.965 0.931 0.218
Br 0.034 0.069 0.782
Br 0.636 0.272 0.557
Br 0.703 0.405 0.110
Br 0.364 0.728 0.443

Uncorrected energy (eV per atom): -4.35
Space group: C2/m (12)
Formation energy without anion corrections (meV/atom): -1034